VASP calculation (PBE) on crystalline BeVSeBr2 at its relaxed geometry.

abc: 5.078 5.078 4.763
angles: 90.00 90.00 90.00
Last column: magnetic moment on the atom in μB.
Fractional coordinates of all 5 atoms:
1 Be 0.500 0.500 0.500  0.02
2 Se 0.000 0.000 0.500  0.03
3 Br 0.000 0.500 0.000  0.00
4 Br 0.500 0.000 0.000  0.00
5 V 0.000 0.000 0.000  -0.14

Results
excess energy over the best structure of this formula in the dataset: 161 meV/atom
N(E_F): 1.012 states/eV per atom
spin magnetization: 0.05 μB per formula unit
space group: P4/mmm (123)
E_form (uncorrected): 0.337 eV per atom
calculated volume: 24.563 A^3/atom
density: 4.039 Mg/m³